Record 1
This record from the Alexandria database describes a relaxed PmGdCd2 crystal. The functional is GGA-PBE.

Output
The calculation puts the formation energy from the elements at -54 kJ/mol of formula units. The space group is R-3m, No. 166. The energy above the most stable polymorph in this dataset is 201 meV per atom.

Cell and atoms, written as POSCAR:
```
PmGdCd2
1.0
-1.331 -2.297 -2.503
1.898 -2.970 -0.943
-4.454 -7.046 6.174
Cd Gd Pm
2 1 1
Cartesian
-2.899 -9.217 2.021
-0.988 -3.097 0.708
-1.943 -6.157 1.364
0.000 0.000 0.000
```

---

Record 2
This record from the Alexandria database describes a relaxed MnFeMo2 crystal. The functional is GGA-PBE.

Output
The calculation puts the formation energy from the elements at 76 kJ/mol of formula units. The space group is I4/mmm, No. 139. The energy above the most stable polymorph in this dataset is 89 meV per atom.

Cell and atoms, written as POSCAR:
```
MnFeMo2
1.0
-4.361 1.459 -0.243
-1.983 -0.620 4.110
3.954 2.042 -1.185
Fe Mn Mo
1 1 2
Cartesian
-0.601 0.921 2.429
-1.790 1.960 0.253
0.000 0.000 0.000
-3.172 0.420 1.933
```

---

Record 3
This record from the Alexandria database describes a relaxed CuIrSe2 crystal. The functional is GGA-PBE.

Output
The space group is I4/mmm, No. 139.

Cell and atoms, written as POSCAR:
```
CuIrSe2
1.0
4.513 -0.022 0.023
-1.112 4.374 0.023
1.681 2.150 3.585
Cu Ir Se
1 1 2
Cartesian
3.097 1.064 1.804
0.284 3.262 1.804
0.000 0.000 0.000
1.701 2.176 0.023
```

---

Record 4
This record from the Alexandria database describes a relaxed Ta5MnW4 crystal. The functional is GGA-PBE.

Output
The calculation puts the formation energy from the elements at -107 kJ/mol of formula units. The space group is P4/mmm, No. 123.

Cell and atoms, written as POSCAR:
```
Ta5MnW4
1.0
-1.091 -2.789 -1.159
-0.227 -1.153 2.988
-15.082 5.496 0.973
Ta Mn W
5 1 4
Cartesian
-2.070 -1.457 1.005
-5.125 -0.344 1.202
-8.200 0.777 1.401
-11.276 1.898 1.599
-14.331 3.011 1.796
0.000 0.000 0.000
-2.940 1.071 0.190
-6.007 2.189 0.387
-9.076 3.307 0.585
-12.143 4.424 0.783
```

---

Record 5
This record from the Alexandria database describes a relaxed TbPmHoTm3 crystal. The functional is GGA-PBE.

Output
The calculation puts the formation energy from the elements at 13 kJ/mol of formula units. The space group is Cmcm, No. 63.

Cell and atoms, written as POSCAR:
```
TbPmHoTm3
1.0
-1.061 3.121 -3.751
3.812 -6.258 -2.962
-8.737 -4.657 -1.404
Tb Pm Ho Tm
2 2 2 6
Cartesian
-4.368 -2.328 -0.702
0.000 0.000 0.000
-7.081 -1.934 -2.931
1.095 -5.859 -5.186
-4.905 -5.049 -6.139
-1.081 -2.744 -1.978
-3.796 -2.342 -4.200
-2.190 -5.451 -3.917
-6.555 -7.777 -4.619
0.569 -0.016 -3.498
-5.451 -5.070 -2.678
-0.535 -2.723 -5.439
```

---

Record 6
This record from the Alexandria database describes a relaxed BaPt4Se crystal. The functional is GGA-PBE.

Output
The space group is F-43m, No. 216.

Cell and atoms, written as POSCAR:
```
BaPt4Se
1.0
0.000 3.926 3.926
3.926 0.000 3.926
3.926 3.926 0.000
Ba Pt Se
1 4 1
Cartesian
0.000 0.000 0.000
2.946 4.906 4.906
4.906 4.906 2.946
4.906 2.946 4.906
2.946 2.946 2.946
5.890 5.890 5.890
```

---

| no. | size of the total moment (μB per cell) | ρ (g/cm3) | final energy (eV per atom) |
| --- | --- | --- | --- |
| 1 | 7.7 | 7.5 | -5.305 |
| 2 | 2.4 | 9.3 | -9.626 |
| 3 | 0.0 | 9.8 | -4.649 |
| 4 | 0.0 | 17.0 | -12.136 |
| 5 | 0.0 | 8.7 | -4.539 |
| 6 | 0.0 | 13.7 | -5.117 |